Entry 1:
Crystalline P3Ir at its relaxed geometry, computed with GGA-PBEsol.

Results
Formation energy (meV per atom): 555
ΔE to the lowest computed polymorph (meV per atom): 1247
Space-group type: Pm-3m, No. 221

Cell lengths 3.813, 3.813, 3.813 Å; angles 90.00, 90.00, 90.00 degrees
Positions (direct):
P (0.000, 0.000, 0.500)
P (0.000, 0.500, 0.000)
P (0.500, 0.000, 0.000)
Ir (0.500, 0.500, 0.500)

Entry 2:
Crystalline P3Ir at its relaxed geometry, computed with GGA-PBEsol.

Results
Formation energy (meV per atom): 1142
ΔE to the lowest computed polymorph (meV per atom): 1834
Space-group type: Pm-3m, No. 221

Cell lengths 4.613, 4.613, 4.613 Å; angles 90.00, 90.00, 90.00 degrees
Positions (direct):
P (0.000, 0.000, 0.500)
P (0.000, 0.500, 0.000)
P (0.500, 0.000, 0.000)
Ir (0.000, 0.000, 0.000)

Entry 3:
Crystalline P3Ir at its relaxed geometry, computed with GGA-PBEsol.

Results
Formation energy (meV per atom): -692
ΔE to the lowest computed polymorph (meV per atom): 0
Space-group type: Im-3, No. 204

Cell lengths 6.938, 6.938, 6.938 Å; angles 109.47, 109.47, 109.47 degrees
Positions (direct):
P (0.140, 0.495, 0.354)
P (0.140, 0.786, 0.646)
P (0.214, 0.354, 0.860)
P (0.354, 0.140, 0.495)
P (0.354, 0.860, 0.214)
P (0.495, 0.354, 0.140)
P (0.505, 0.646, 0.860)
P (0.646, 0.140, 0.786)
P (0.646, 0.860, 0.505)
P (0.786, 0.646, 0.140)
P (0.860, 0.214, 0.354)
P (0.860, 0.505, 0.646)
Ir (0.000, 0.000, 0.500)
Ir (0.000, 0.500, 0.000)
Ir (0.500, 0.000, 0.000)
Ir (0.500, 0.500, 0.500)

Entry 4:
Crystalline P5Ir4 at its relaxed geometry, computed with GGA-PBEsol.

Results
Formation energy (meV per atom): 341
Space-group type: I4/mmm, No. 139

Cell lengths 5.748, 5.748, 5.748 Å; angles 99.47, 99.47, 132.13 degrees
Positions (direct):
P (0.000, 0.000, 0.000)
P (0.326, 0.326, 0.651)
P (0.326, 0.674, 0.000)
P (0.674, 0.326, 0.000)
P (0.674, 0.674, 0.349)
Ir (0.000, 0.305, 0.305)
Ir (0.000, 0.695, 0.695)
Ir (0.305, 0.000, 0.305)
Ir (0.695, 0.000, 0.695)

Entry 5:
Crystalline PIr at its relaxed geometry, computed with GGA-PBEsol.

Results
Formation energy (meV per atom): -239
Space-group type: Cmcm, No. 63

Cell lengths 5.361, 5.361, 3.677 Å; angles 90.00, 90.00, 148.53 degrees
Positions (direct):
P (0.163, 0.837, 0.750)
P (0.837, 0.163, 0.250)
Ir (0.396, 0.604, 0.750)
Ir (0.604, 0.396, 0.250)

Entry 6:
Crystalline P2Ir at its relaxed geometry, computed with GGA-PBEsol.

Results
Formation energy (meV per atom): -343
Space-group type: Fm-3m, No. 225

Cell lengths 4.011, 4.011, 4.011 Å; angles 60.00, 60.00, 60.00 degrees
Positions (direct):
P (0.250, 0.250, 0.250)
P (0.750, 0.750, 0.750)
Ir (0.000, 0.000, 0.000)

The lowest formation energy belongs to which entry? number 3